A relaxed Li5Zn12Cu2 crystal. Source: Alexandria, functional PBE.

a = 6.871 Å, b = 6.871 Å, c = 10.470 Å
α = 117.50°, β = 117.50°, γ = 44.74°
Element x y z (fractional)
Li 0.000 0.000 0.000
Li 0.293 0.293 0.963
Li 0.362 0.362 0.571
Li 0.638 0.638 0.429
Li 0.707 0.707 0.037
Zn 0.010 0.507 0.307
Zn 0.125 0.125 0.402
Zn 0.168 0.673 0.223
Zn 0.327 0.832 0.777
Zn 0.449 0.449 0.862
Zn 0.493 0.990 0.693
Zn 0.507 0.010 0.307
Zn 0.551 0.551 0.138
Zn 0.673 0.168 0.223
Zn 0.832 0.327 0.777
Zn 0.875 0.875 0.598
Zn 0.990 0.493 0.693
Cu 0.246 0.754 0.500
Cu 0.754 0.246 0.500

## Properties
Its calculated volume is 15.87 Å³/atom. Its formation enthalpy at 0 K is -0.06 eV/atom.